(1)
## PrPtN (GGA-PBE)

Data for a geometry-optimized PrPtN structure.

```
PrPtN
1.0
3.9554 0.0000 0.0000
1.9777 5.3897 -0.0794
1.9777 0.2539 5.3843
Pt N Pr
2 2 2
Cartesian
1.9777 4.3630 1.0129
1.9777 1.2806 4.2920
3.9554 4.0948 1.2982
3.9554 1.5488 4.0068
5.9331 4.3047 4.0464
1.9777 1.3389 1.2586
```

Calculated values
N(E_F) = 2.62 states/eV/cell
Electronic total energy = -20.68 eV/f.u.
Raw formation energy = -1.54 eV/f.u.

=====

(2)
## PrPu2PtN4 (GGA-PBE)

Data for a geometry-optimized PrPu2PtN4 structure.

```
PrPu2PtN4
1.0
3.6557 0.0000 0.0000
-1.8278 5.8484 0.0000
0.0000 0.0000 11.7661
Pr Pu Pt N
2 4 2 8
Cartesian
0.0000 0.7847 8.8245
1.8278 5.0637 2.9415
0.0000 4.2961 6.5871
1.8278 1.5523 0.7041
1.8278 1.5523 5.1789
0.0000 4.2961 11.0619
1.8278 3.2313 8.8245
0.0000 2.6171 2.9415
0.0000 2.9394 0.9869
1.8278 2.9090 6.8700
1.8278 2.9090 10.7791
0.0000 2.9394 4.8961
0.0000 0.0000 5.8830
0.0000 0.0000 0.0000
0.0000 5.1129 8.8245
1.8278 0.7356 2.9415
```

Calculated values
N(E_F) = 24.94 states/eV/cell
Electronic total energy = -79.90 eV/f.u.
Raw formation energy = -7.11 eV/f.u.

=====

(3)
## PrSiPtN (GGA-PBE)

Data for a geometry-optimized PrSiPtN structure.

```
PrSiPtN
1.0
3.9616 0.0000 0.0000
0.0000 3.9616 0.0000
0.0000 0.0000 8.4987
Pr Si Pt N
2 2 2 2
Cartesian
0.0000 1.9808 7.1858
1.9808 0.0000 1.3129
0.0000 1.9808 2.8247
1.9808 0.0000 5.6740
0.0000 0.0000 4.2494
1.9808 1.9808 4.2494
1.9808 0.0000 7.4102
0.0000 1.9808 1.0885
```

Calculated values
N(E_F) = 2.22 states/eV/cell
Electronic total energy = -29.24 eV/f.u.
Raw formation energy = -4.67 eV/f.u.

=====

(4)
## Pr3TePtN (GGA-PBE)

Data for a geometry-optimized Pr3TePtN structure.

```
Pr3TePtN
1.0
4.1796 0.0000 0.0000
0.0000 9.2759 0.1329
0.0000 -2.3132 9.4372
Pr Te Pt N
6 2 2 2
Cartesian
3.1347 7.7406 1.6440
1.0449 -0.7780 7.9260
1.0449 6.6641 4.7003
3.1347 0.2985 4.8697
3.1347 3.5971 1.3940
1.0449 3.3655 8.1760
1.0449 1.0842 2.0907
3.1347 5.8785 7.4793
1.0449 5.6308 1.5978
3.1347 1.3319 7.9723
1.0449 -0.5757 5.6825
3.1347 7.5384 3.8875
```

Calculated values
N(E_F) = 5.21 states/eV/cell
Electronic total energy = -38.95 eV/f.u.
Raw formation energy = -7.10 eV/f.u.

=====

(5)
## PrTh2PtN4 (GGA-PBE)

Data for a geometry-optimized PrTh2PtN4 structure.

```
PrTh2PtN4
1.0
-0.4704 3.4546 -0.7559
-4.2943 -1.4659 4.3915
7.9539 3.0044 8.7805
Pr Th Pt N
2 4 2 8
Cartesian
4.9474 2.3120 7.4875
-1.7582 2.6811 4.9287
1.0692 1.8659 7.8617
-0.9575 1.9648 1.1570
2.1200 3.1273 4.5544
4.1468 3.0283 11.2592
2.5673 4.1632 9.0101
0.6219 0.8300 3.4060
-1.5773 0.4869 3.2068
2.6078 3.6908 6.8262
4.7666 4.5062 9.2093
0.5814 1.3023 5.5899
3.9770 1.5022 4.3903
0.0000 0.0000 0.0000
1.8185 2.4927 10.2600
1.3707 2.5005 2.1562
```

Calculated values
N(E_F) = 5.46 states/eV/cell
Electronic total energy = -67.49 eV/f.u.
Raw formation energy = -8.53 eV/f.u.

=====

(6)
## PrZr2PtN4 (GGA-PBE)

Data for a geometry-optimized PrZr2PtN4 structure.

```
PrZr2PtN4
1.0
-3.2386 -0.7517 0.0770
2.8165 -4.5029 2.6821
-1.0180 5.4287 10.1831
Pr Zr Pt N
2 4 2 8
Cartesian
-0.4867 2.9434 8.2664
-0.9535 -2.7694 4.6758
0.3244 -0.6179 7.6095
-1.3572 -1.3802 1.2583
-1.7645 0.7919 5.3327
-0.0829 1.5542 11.6838
-1.5414 0.2666 9.5880
0.1013 -0.0926 3.3542
0.5422 -2.0733 2.5652
-1.6905 0.6910 7.4578
-1.9823 2.2472 10.3770
0.2504 -0.5170 5.4844
-0.5090 2.7143 5.0915
0.0000 0.0000 0.0000
0.3382 -0.4183 10.1410
-1.7783 0.5922 2.8012
```

Calculated values
N(E_F) = 3.36 states/eV/cell
Electronic total energy = -69.00 eV/f.u.
Raw formation energy = -7.78 eV/f.u.

=====

(7)
## Pr3PuN3 (GGA-PBE)

Data for a geometry-optimized Pr3PuN3 structure.

```
Pr3PuN3
1.0
-5.9005 2.3171 -3.8799
-0.0274 -6.1201 -2.0239
-2.7452 0.1119 5.8313
Pr Pu N
6 2 6
Cartesian
-5.7438 -2.5011 -0.0031
-3.4821 -3.8048 -2.5059
-5.1910 0.1138 2.4334
-0.5137 -5.0048 -0.6181
-2.2588 -1.0034 4.4255
-2.9293 -1.1900 -0.0694
-2.9573 -3.7581 1.9583
-5.7158 0.0670 -2.0308
-4.4780 1.7505 -2.9381
-4.3775 -2.1795 2.0957
-3.6332 -3.8859 -0.0553
-4.2956 -1.5116 -2.1682
-5.0398 0.1949 -0.0172
-4.1951 -5.4415 2.8656
```

Calculated values
N(E_F) = 15.61 states/eV/cell
Polymorph energy (0 for the lowest one) = 53.1 kJ/mol of formula units
Electronic total energy = -59.81 eV/f.u.
Raw formation energy = -6.16 eV/f.u.

=====

(8)
## PrPuN (GGA-PBE)

Data for a geometry-optimized PrPuN structure.

```
PrPuN
1.0
3.3874 0.0000 0.0000
0.0000 6.1502 0.0000
0.0000 0.0000 12.0832
N Pu Pr
4 4 4
Cartesian
0.8469 2.6597 1.9967
2.5406 3.4905 10.0865
2.5406 0.4154 8.0383
0.8469 5.7348 4.0449
0.8469 5.5458 6.5510
2.5406 0.6044 5.5322
2.5406 3.6795 0.5094
0.8469 2.4707 11.5738
0.8469 2.3213 8.3202
2.5406 3.8289 3.7630
2.5406 0.7538 2.2786
0.8469 5.3963 9.8046
```

Calculated values
N(E_F) = 17.41 states/eV/cell
Polymorph energy (0 for the lowest one) = 130.2 kJ/mol of formula units
Electronic total energy = -28.25 eV/f.u.
Raw formation energy = -0.81 eV/f.u.

=====

(9)
## PrPuN (GGA-PBE)

Data for a geometry-optimized PrPuN structure.

```
PrPuN
1.0
6.4077 0.0000 0.0000
0.0000 3.5027 0.0000
0.0000 -1.7514 3.0335
Pr N Pu
1 1 1
Cartesian
4.9050 1.7514 1.0112
0.1490 0.0000 0.0000
1.3537 0.0000 2.0223
```

Calculated values
N(E_F) = 7.87 states/eV/cell
Polymorph energy (0 for the lowest one) = 0.0 kJ/mol of formula units
Electronic total energy = -29.60 eV/f.u.
Raw formation energy = -2.16 eV/f.u.

=====

(10)
## PrPu5N6 (GGA-PBE)

Data for a geometry-optimized PrPu5N6 structure.

```
PrPu5N6
1.0
5.9817 -0.0907 -1.1292
-3.2298 5.0355 -1.1292
0.1165 0.2093 6.0866
Pr N Pu
1 6 5
Cartesian
0.0000 0.0000 0.0000
2.3705 0.4583 0.9994
3.7282 2.8980 2.8289
0.8284 1.4885 3.9319
2.0399 3.6656 -0.1037
-0.8599 2.2561 0.9994
0.4978 4.6957 2.8289
4.5097 0.8655 1.9141
2.9126 1.6172 -1.1292
1.4341 2.5770 1.9141
-0.1608 3.3276 -1.1292
-1.6414 4.2886 1.9141
```

Calculated values
N(E_F) = 27.68 states/eV/cell
Electronic total energy = -141.53 eV/f.u.
Raw formation energy = -15.14 eV/f.u.

=====

(11)
## Pr3Pu4N8 (GGA-PBE)

Data for a geometry-optimized Pr3Pu4N8 structure.

```
Pr3Pu4N8
1.0
-0.5191 6.9751 1.1152
-5.5108 -3.5944 -2.7256
0.1501 -4.4922 5.5241
Pr Pu N
3 4 8
Cartesian
-3.0149 1.6903 -0.8052
-0.1845 1.2415 3.3197
-2.9399 -0.5558 1.9569
-0.2595 3.4875 0.5576
-2.7554 -1.7972 -1.3628
0.0000 0.0000 0.0000
0.0750 -2.2461 2.7621
-1.3003 1.3011 1.0338
-4.2794 -3.7897 -0.9311
-1.6613 5.1219 1.6973
-4.4008 -0.3241 -0.1722
-1.4790 -0.7874 4.0859
-4.2185 -6.2334 2.2164
-1.0813 -4.2969 3.7296
-4.5795 -2.4126 2.8799
```

Calculated values
N(E_F) = 29.47 states/eV/cell
Electronic total energy = -154.28 eV/f.u.
Raw formation energy = -16.01 eV/f.u.

=====

(12)
## PrPuN (GGA-PBE)

Data for a geometry-optimized PrPuN structure.

```
PrPuN
1.0
3.2134 0.0000 0.0000
0.0000 3.2134 0.0000
-1.6067 -1.6067 6.2782
Pr Pu N
1 1 1
Cartesian
0.0000 0.0000 0.3325
0.0000 0.0000 3.3765
1.6067 1.6067 2.5693
```

Calculated values
N(E_F) = 6.70 states/eV/cell
Polymorph energy (0 for the lowest one) = 135.7 kJ/mol of formula units
Electronic total energy = -28.19 eV/f.u.
Raw formation energy = -0.75 eV/f.u.

=====

(13)
## Pr2Pu3N8 (GGA-PBE)

Data for a geometry-optimized Pr2Pu3N8 structure.

```
Pr2Pu3N8
1.0
-3.1749 2.2489 -5.7085
-2.4668 -5.4915 3.3888
-6.0113 6.2934 5.8226
Pr Pu N
4 6 16
Cartesian
-3.1473 -0.1131 -2.4742
-5.9169 0.4535 3.4695
-5.2815 2.1213 -0.4070
-8.0511 2.6879 5.5368
-5.6479 -1.5381 0.4379
-7.5334 5.6495 0.1381
-2.8171 0.0890 1.6019
-8.7712 2.8941 1.8384
-5.9404 4.5212 3.0024
-4.0549 -2.6664 3.3022
-4.0652 2.0540 -3.2710
-8.2321 1.1155 2.8569
-5.3154 2.7918 4.0562
-5.3404 -0.7849 -1.5191
-2.4238 0.8914 -0.3199
-6.5907 -0.0471 5.8081
-7.9758 3.9828 3.5436
-3.6228 -0.5469 3.5182
-5.9424 -1.8802 2.5644
-6.9616 6.2407 2.1503
-2.0053 2.0993 1.9423
-7.4777 -0.2454 8.2424
-3.5346 -2.0406 1.1620
-9.2812 4.9075 1.1965
-4.9282 0.3777 1.1711
-6.7763 3.6863 1.0409
```

Calculated values
N(E_F) = 31.56 states/eV/cell
Electronic total energy = -130.67 eV/f.u.
Raw formation energy = -11.51 eV/f.u.

=====

(14)
## Pr2PuN3 (GGA-PBE)

Data for a geometry-optimized Pr2PuN3 structure.

```
Pr2PuN3
1.0
-1.8167 3.1414 -0.2756
1.4698 0.4191 -4.9119
-5.4150 -3.0602 0.8122
Pr Pu N
2 1 3
Cartesian
-4.1799 -0.4220 -1.2868
-1.5819 0.9223 -3.0884
0.0000 0.0000 0.0000
-3.6442 -0.3338 -3.8127
-2.1177 0.8341 -0.5625
0.7349 0.2095 -2.4559
```

Calculated values
N(E_F) = 7.41 states/eV/cell
Polymorph energy (0 for the lowest one) = 73.8 kJ/mol of formula units
Electronic total energy = -55.75 eV/f.u.
Raw formation energy = -6.88 eV/f.u.

=====

(15)
## PrPuN2 (GGA-PBE)

Data for a geometry-optimized PrPuN2 structure.

```
PrPuN2
1.0
3.0645 0.0000 0.0000
0.0000 3.0645 0.0000
0.0000 0.0000 6.1657
Pr N Pu
1 2 1
Cartesian
1.5323 1.5323 3.0828
0.0000 0.0000 4.7203
0.0000 0.0000 1.4454
1.5323 1.5323 0.0000
```

Calculated values
N(E_F) = 6.71 states/eV/cell
Electronic total energy = -38.07 eV/f.u.
Raw formation energy = -2.31 eV/f.u.

=====

(16)
## PrPuN2 (GGA-PBE)

Data for a geometry-optimized PrPuN2 structure.

```
PrPuN2
1.0
-0.3726 -0.5652 -3.4580
0.6825 -3.1830 -1.3486
-5.6491 -2.8567 -0.7196
Pr Pu N
1 1 2
Cartesian
-2.7609 -3.3280 -2.7491
-5.4359 -5.3537 -3.9250
-4.3539 -2.4948 -0.9183
-1.1074 -1.5877 -1.4164
```

Calculated values
N(E_F) = 6.61 states/eV/cell
Electronic total energy = -40.20 eV/f.u.
Raw formation energy = -4.44 eV/f.u.

=====

(17)
## Pr3PuN6 (GGA-PBE)

Data for a geometry-optimized Pr3PuN6 structure.

```
Pr3PuN6
1.0
-5.2824 1.7525 -4.2213
-3.6728 -5.2959 2.6942
-2.2876 4.3488 4.9648
Pr Pu N
6 2 12
Cartesian
-2.9224 -1.7376 2.4913
-2.8125 2.5371 1.8491
-7.2574 0.9086 4.8060
-3.9854 -0.1031 -1.3682
-8.4304 -1.7316 1.5887
-8.3205 2.5431 0.9465
0.0000 0.0000 0.0000
-5.6214 0.4027 1.7189
-5.1795 0.4225 6.3030
-4.3545 -3.5806 3.6522
-3.9210 0.5167 2.8822
-3.8218 4.2179 3.5672
-4.6869 -1.1758 0.7741
-6.6361 -0.8003 3.0534
-4.6067 1.6058 0.3844
-6.5560 1.9812 2.6637
-7.4211 -3.4124 -0.1294
-7.3218 0.2888 0.5556
-6.8884 4.3861 -0.2144
-6.0634 0.3830 -2.8653
```

Calculated values
N(E_F) = 13.49 states/eV/cell
Electronic total energy = -87.35 eV/f.u.
Raw formation energy = -8.73 eV/f.u.

=====

(18)
## PrPuN2 (GGA-PBE)

Data for a geometry-optimized PrPuN2 structure.

```
PrPuN2
1.0
3.5013 0.0000 0.0000
0.0000 6.0426 0.0000
0.0000 0.0000 6.0422
Pr Pu N
2 2 4
Cartesian
0.8753 1.5106 3.5415
2.6260 4.5319 2.5007
2.6260 1.5106 0.4780
0.8753 4.5319 5.5642
0.8753 2.9992 1.3472
2.6260 3.0434 4.6950
2.6260 6.0204 4.6950
0.8753 0.0221 1.3472
```

Calculated values
N(E_F) = 11.54 states/eV/cell
Electronic total energy = -40.55 eV/f.u.
Raw formation energy = -4.79 eV/f.u.

=====

(19)
## Pr3PuN4 (GGA-PBE)

Data for a geometry-optimized Pr3PuN4 structure.

```
Pr3PuN4
1.0
3.6326 0.0000 0.0000
0.0000 6.2739 -0.0465
0.0000 -2.0221 5.9393
Pr Pu N
3 1 4
Cartesian
0.0000 -1.0111 2.9696
1.8163 2.1259 2.9464
0.0000 3.1370 -0.0232
1.8163 0.0000 0.0000
0.0000 0.9766 1.3536
1.8163 4.3061 1.3733
0.0000 3.2751 4.5392
1.8163 -0.0544 4.5195
```

Calculated values
N(E_F) = 8.17 states/eV/cell
Polymorph energy (0 for the lowest one) = 0.0 kJ/mol of formula units
Electronic total energy = -72.12 eV/f.u.
Raw formation energy = -10.15 eV/f.u.

=====

(20)
## Pr3PuN3 (GGA-PBE)

Data for a geometry-optimized Pr3PuN3 structure.

```
Pr3PuN3
1.0
5.3518 0.0000 0.0000
0.0000 8.1833 -0.0079
0.0000 -4.0846 7.0910
Pr Pu N
6 2 6
Cartesian
1.3379 2.0233 5.8858
1.3379 0.0018 2.3961
1.3379 -2.0126 5.8932
4.0138 2.0755 1.1973
4.0138 4.0969 4.6870
4.0138 6.1114 1.1899
4.0138 0.0033 4.7256
1.3379 4.0955 2.3575
4.0138 1.9802 5.8607
4.0138 0.0020 2.4459
4.0138 -1.9700 5.8686
1.3379 2.1185 1.2224
1.3379 4.0968 4.6372
1.3379 6.0687 1.2145
```

Calculated values
N(E_F) = 15.34 states/eV/cell
Polymorph energy (0 for the lowest one) = 0.0 kJ/mol of formula units
Electronic total energy = -60.36 eV/f.u.
Raw formation energy = -6.71 eV/f.u.